(1)
TbSc3Cu8: optimized geometry, PBE-GGA.

For the formation energy, the calculation gives -2.7 eV/f.u. The space group is P3m1, No. 156.

Geometry as POSCAR:
```
TbSc3Cu8
1.0
5.1239 0.0000 0.0000
-2.5620 4.4375 0.0000
0.0000 0.0000 8.2822
Tb Sc Cu
1 3 8
Direct
0.0000 0.0000 0.0000
0.0000 0.0000 0.3942
0.6667 0.3333 0.4859
0.6667 0.3333 0.8648
0.1667 0.3335 0.6825
0.1667 0.8333 0.6825
0.3333 0.6667 0.4331
0.3333 0.6667 0.9354
0.5017 0.0035 0.1897
0.5017 0.4983 0.1897
0.6665 0.8333 0.6825
0.9965 0.4983 0.1897
```



(2)
TbScCu3: optimized geometry, PBE-GGA.

For the formation energy, the calculation gives -1.2 eV/f.u. The space group is Cmcm, No. 63.

Geometry as POSCAR:
```
TbScCu3
1.0
1.7252 -12.4326 0.0000
1.7252 12.4326 0.0000
0.0000 0.0000 4.2627
Tb Sc Cu
2 2 6
Direct
0.0754 0.9246 0.7500
0.9246 0.0754 0.2500
0.2083 0.7917 0.2500
0.7917 0.2083 0.7500
0.3214 0.6786 0.2500
0.3766 0.6234 0.7500
0.4755 0.5245 0.7500
0.5245 0.4755 0.2500
0.6234 0.3766 0.2500
0.6786 0.3214 0.7500
```



(3)
Tb5ScCu6: optimized geometry, PBE-GGA.

For the formation energy, the calculation gives -2.8 eV/f.u. The space group is C2/m, No. 12.

Geometry as POSCAR:
```
Tb5ScCu6
1.0
7.7540 -3.4173 0.0000
7.7540 3.4173 0.0000
-1.5383 0.0000 4.6417
Tb Sc Cu
5 1 6
Direct
0.0000 0.0000 0.0000
0.1661 0.1661 0.6667
0.3330 0.3330 0.3325
0.6670 0.6670 0.6675
0.8339 0.8339 0.3333
0.5000 0.5000 0.0000
0.1003 0.5783 0.8382
0.2684 0.7316 0.5000
0.4217 0.8997 0.1618
0.5783 0.1003 0.8382
0.7316 0.2684 0.5000
0.8997 0.4217 0.1618
```



(4)
Tb2Sc3Cu4: optimized geometry, PBE-GGA.

For the formation energy, the calculation gives -1.8 eV/f.u. The space group is P2_1/c, No. 14.

Geometry as POSCAR:
```
Tb2Sc3Cu4
1.0
7.0650 0.0000 0.0000
0.0000 7.0194 0.0000
-2.5573 0.0000 7.4406
Tb Sc Cu
4 6 8
Direct
0.1945 0.1662 0.0887
0.1945 0.3338 0.5887
0.8055 0.6662 0.4113
0.8055 0.8338 0.9113
0.2439 0.6544 0.2501
0.2439 0.8456 0.7501
0.5000 0.0000 0.5000
0.5000 0.5000 0.0000
0.7561 0.1544 0.2499
0.7561 0.3456 0.7499
0.0948 0.5483 0.8887
0.0948 0.9517 0.3887
0.4859 0.6287 0.6147
0.4859 0.8713 0.1147
0.5141 0.1287 0.8853
0.5141 0.3713 0.3853
0.9052 0.0483 0.6113
0.9052 0.4517 0.1113
```



(5)
TbSc2Cu: optimized geometry, PBE-GGA.

For the formation energy, the calculation gives 0.2 eV/f.u. Its excess energy over the best structure of this formula in the dataset is 165 meV/atom. The space group is R-3m, No. 166.

Geometry as POSCAR:
```
TbSc2Cu
1.0
1.7082 0.9862 9.3998
-1.7082 0.9862 9.3998
0.0000 -1.9725 9.3998
Tb Sc Cu
1 2 1
Direct
0.0000 0.0000 0.0000
0.2331 0.2331 0.2331
0.7669 0.7669 0.7669
0.5000 0.5000 0.5000
```



(6)
Tb3Sc2Cu3: optimized geometry, PBE-GGA.

For the formation energy, the calculation gives -1.4 eV/f.u. The space group is Immm, No. 71.

Geometry as POSCAR:
```
Tb3Sc2Cu3
1.0
-1.7235 2.4951 10.2262
1.7235 -2.4951 10.2262
1.7235 2.4951 -10.2262
Tb Sc Cu
3 2 3
Direct
0.0000 0.0000 0.0000
0.3793 0.8793 0.5000
0.6207 0.1207 0.5000
0.2299 0.2299 0.0000
0.7701 0.7701 0.0000
0.1232 0.6232 0.5000
0.5000 0.5000 0.0000
0.8768 0.3768 0.5000
```



(7)
TbSc2Cu: optimized geometry, PBE-GGA.

For the formation energy, the calculation gives 0.2 eV/f.u. Its excess energy over the best structure of this formula in the dataset is 156 meV/atom. The space group is R3m, No. 160.

Geometry as POSCAR:
```
TbSc2Cu
1.0
1.7253 0.9961 9.2599
-1.7253 0.9961 9.2599
0.0000 -1.9922 9.2599
Tb Sc Cu
1 2 1
Direct
0.0000 0.0000 0.0000
0.2346 0.2346 0.2346
0.4354 0.4354 0.4354
0.8358 0.8358 0.8358
```



(8)
Tb2ScCu: optimized geometry, PBE-GGA.

For the formation energy, the calculation gives 0.2 eV/f.u. Its excess energy over the best structure of this formula in the dataset is 117 meV/atom. The space group is P4/mmm, No. 123.

Geometry as POSCAR:
```
Tb2ScCu
1.0
5.1970 0.0000 0.0000
0.0000 5.1970 0.0000
0.0000 0.0000 3.6068
Tb Sc Cu
2 1 1
Direct
0.0000 0.5000 0.0000
0.5000 0.0000 0.0000
0.0000 0.0000 0.5000
0.5000 0.5000 0.5000
```



(9)
TbSc5Cu4: optimized geometry, PBE-GGA.

For the formation energy, the calculation gives -2.0 eV/f.u. The space group is P4/mmm, No. 123.

Geometry as POSCAR:
```
TbSc5Cu4
1.0
3.2634 0.0000 0.0000
0.0000 3.2634 0.0000
0.0000 0.0000 18.1779
Tb Sc Cu
1 5 4
Direct
0.0000 0.0000 0.0000
0.5000 0.5000 0.1405
0.5000 0.5000 0.3193
0.5000 0.5000 0.5000
0.5000 0.5000 0.6807
0.5000 0.5000 0.8595
0.0000 0.0000 0.2288
0.0000 0.0000 0.4107
0.0000 0.0000 0.5893
0.0000 0.0000 0.7712
```



(10)
TbSc5Cu6: optimized geometry, PBE-GGA.

For the formation energy, the calculation gives -3.1 eV/f.u. The space group is Immm, No. 71.

Geometry as POSCAR:
```
TbSc5Cu6
1.0
-2.3379 3.2734 7.0325
2.3379 -3.2734 7.0325
2.3379 3.2734 -7.0325
Tb Sc Cu
1 5 6
Direct
0.0000 0.0000 0.0000
0.1666 0.6666 0.5000
0.3321 0.3321 0.0000
0.5000 0.0000 0.5000
0.6679 0.6679 0.0000
0.8334 0.3334 0.5000
0.0876 0.8280 0.2596
0.2719 0.5000 0.7719
0.4317 0.1720 0.2596
0.5683 0.8280 0.7404
0.7281 0.5000 0.2281
0.9124 0.1720 0.7404
```



(11)
TbSc3Cu4: optimized geometry, PBE-GGA.

For the formation energy, the calculation gives -2.1 eV/f.u. The space group is P4/mmm, No. 123.

Geometry as POSCAR:
```
TbSc3Cu4
1.0
3.3099 0.0000 0.0000
0.0000 3.3099 0.0000
0.0000 0.0000 13.2765
Tb Sc Cu
1 3 4
Direct
0.0000 0.0000 0.0000
0.0000 0.0000 0.2587
0.0000 0.0000 0.5000
0.0000 0.0000 0.7413
0.5000 0.5000 0.1442
0.5000 0.5000 0.3782
0.5000 0.5000 0.6218
0.5000 0.5000 0.8558
```



(12)
Tb2ScCu: optimized geometry, PBE-GGA.

For the formation energy, the calculation gives -0.3 eV/f.u. Its excess energy over the best structure of this formula in the dataset is 0 meV/atom. The space group is P4/mmm, No. 123.

Geometry as POSCAR:
```
Tb2ScCu
1.0
3.4674 0.0000 0.0000
0.0000 3.4674 0.0000
0.0000 0.0000 8.2635
Tb Sc Cu
2 1 1
Direct
0.0000 0.0000 0.2118
0.0000 0.0000 0.7882
0.5000 0.5000 0.5000
0.5000 0.5000 0.0000
```



(13)
Tb3ScCu2: optimized geometry, PBE-GGA.

For the formation energy, the calculation gives -0.9 eV/f.u. The space group is Pmc2_1, No. 26.

Geometry as POSCAR:
```
Tb3ScCu2
1.0
4.8891 0.0000 0.0000
0.0000 8.7282 0.0000
0.0000 0.0000 6.6092
Tb Sc Cu
6 2 4
Direct
0.0000 0.0701 0.0000
0.0000 0.3451 0.3526
0.0000 0.6549 0.8526
0.0000 0.9299 0.5000
0.5000 0.1725 0.6562
0.5000 0.8275 0.1562
0.5000 0.4298 0.0175
0.5000 0.5702 0.5175
0.0000 0.3447 0.7792
0.0000 0.6553 0.2792
0.5000 0.1581 0.2339
0.5000 0.8419 0.7339
```



(14)
TbSc2Cu: optimized geometry, PBE-GGA.

For the formation energy, the calculation gives -0.4 eV/f.u. Its excess energy over the best structure of this formula in the dataset is 6 meV/atom. The space group is Cmcm, No. 63.

Geometry as POSCAR:
```
TbSc2Cu
1.0
2.3476 -5.4975 0.0000
2.3476 5.4975 0.0000
0.0000 0.0000 7.1918
Tb Sc Cu
2 4 2
Direct
0.0530 0.9470 0.7500
0.9470 0.0530 0.2500
0.3474 0.6526 0.5376
0.3474 0.6526 0.9624
0.6526 0.3474 0.0376
0.6526 0.3474 0.4624
0.2055 0.7945 0.2500
0.7945 0.2055 0.7500
```



(15)
TbScCuTc: optimized geometry, PBE-GGA.

For the formation energy, the calculation gives -0.6 eV/f.u. The space group is F-43m, No. 216.

Geometry as POSCAR:
```
TbScCuTc
1.0
0.0000 3.3510 3.3510
3.3510 0.0000 3.3510
3.3510 3.3510 0.0000
Tb Sc Cu Tc
1 1 1 1
Direct
0.0000 0.0000 0.0000
0.5000 0.5000 0.5000
0.2500 0.2500 0.2500
0.7500 0.7500 0.7500
```



(16)
Tb2ScCuTe5: optimized geometry, PBE-GGA.

Its uncorrected formation energy is -1.109 eV/atom. The space group is Cmc2_1, No. 36.

Geometry as POSCAR:
```
Tb2ScCuTe5
1.0
2.0967 -9.2691 0.0000
2.0967 9.2691 0.0000
0.0000 0.0000 12.7398
Tb Sc Cu Te
4 2 2 10
Direct
0.1106 0.8894 0.5000
0.1266 0.8734 0.1180
0.8734 0.1266 0.6180
0.8894 0.1106 0.0000
0.1873 0.8127 0.8241
0.8127 0.1873 0.3241
0.4261 0.5739 0.2730
0.5739 0.4261 0.7730
0.0421 0.9579 0.8803
0.2855 0.7145 0.4803
0.3082 0.6918 0.1584
0.3502 0.6498 0.8131
0.4995 0.5005 0.6008
0.5005 0.4995 0.1008
0.6498 0.3502 0.3131
0.6918 0.3082 0.6584
0.7145 0.2855 0.9803
0.9579 0.0421 0.3803
```



(17)
TbScTlCu: optimized geometry, PBE-GGA.

For the formation energy, the calculation gives -0.9 eV/f.u. The space group is F-43m, No. 216.

Geometry as POSCAR:
```
TbScTlCu
1.0
0.0000 3.5692 3.5692
3.5692 0.0000 3.5692
3.5692 3.5692 0.0000
Tb Sc Tl Cu
1 1 1 1
Direct
0.0000 0.0000 0.0000
0.5000 0.5000 0.5000
0.7500 0.7500 0.7500
0.2500 0.2500 0.2500
```



(18)
ScCuTc: optimized geometry, PBE-GGA.

For the formation energy, the calculation gives 2.8 eV/f.u. Its excess energy over the best structure of this formula in the dataset is 1170 meV/atom. The space group is F-43m, No. 216.

Geometry as POSCAR:
```
ScCuTc
1.0
0.0000 3.0398 3.0398
3.0398 0.0000 3.0398
3.0398 3.0398 0.0000
Sc Cu Tc
1 1 1
Direct
0.0000 0.0000 0.0000
0.7500 0.7500 0.7500
0.2500 0.2500 0.2500
```



(19)
ScCuTc: optimized geometry, PBE-GGA.

For the formation energy, the calculation gives -0.7 eV/f.u. Its excess energy over the best structure of this formula in the dataset is 0 meV/atom. The space group is Imma, No. 74.

Geometry as POSCAR:
```
ScCuTc
1.0
-2.4548 2.5215 3.9072
2.4548 -2.5215 3.9072
2.4548 2.5215 -3.9072
Sc Cu Tc
2 2 2
Direct
0.3702 0.1202 0.2500
0.6298 0.8798 0.7500
0.0000 0.5000 0.5000
0.5000 0.5000 0.0000
0.0000 0.0000 0.5000
0.0000 0.5000 0.0000
```



(20)
Sc6Cu5Tc: optimized geometry, PBE-GGA.

For the formation energy, the calculation gives -3.4 eV/f.u. The space group is Cmmm, No. 65.

Geometry as POSCAR:
```
Sc6Cu5Tc
1.0
2.3068 -6.9146 0.0000
2.3068 6.9146 0.0000
0.0000 0.0000 6.5010
Sc Cu Tc
6 5 1
Direct
0.0000 0.0000 0.2452
0.0000 0.0000 0.7548
0.3357 0.6643 0.2464
0.3357 0.6643 0.7536
0.6643 0.3357 0.2464
0.6643 0.3357 0.7536
0.1632 0.8368 0.0000
0.1676 0.8324 0.5000
0.5000 0.5000 0.5000
0.8324 0.1676 0.5000
0.8368 0.1632 0.0000
0.5000 0.5000 0.0000
```